! CsHgCl3 (meta-GGA SCAN, PBEsol geometry); values from VASP
&SYSTEM
  ibrav = 0, nat = 40, ntyp = 3
/
ATOMIC_SPECIES
Cs 132.91 Cs.upf
Hg 200.59 Hg.upf
Cl 35.45 Cl.upf
CELL_PARAMETERS angstrom
9.196 0.000 0.000
0.000 15.073 0.000
-6.092 0.000 8.681
ATOMIC_POSITIONS crystal
Cs 0.000 0.000 0.000
Cs 0.000 0.000 0.500
Cs 0.000 0.500 0.000
Cs 0.000 0.500 0.500
Cs 0.483 0.250 0.243
Cs 0.483 0.250 0.743
Cs 0.517 0.750 0.257
Cs 0.517 0.750 0.757
Hg 0.003 0.748 0.250
Hg 0.003 0.752 0.750
Hg 0.500 0.000 0.000
Hg 0.500 0.000 0.500
Hg 0.500 0.500 0.000
Hg 0.500 0.500 0.500
Hg 0.997 0.248 0.250
Hg 0.997 0.252 0.750
Cl 0.018 0.747 0.508
Cl 0.018 0.753 0.008
Cl 0.213 0.123 0.854
Cl 0.213 0.377 0.354
Cl 0.242 0.124 0.374
Cl 0.242 0.376 0.874
Cl 0.266 0.643 0.379
Cl 0.266 0.857 0.879
Cl 0.276 0.615 0.891
Cl 0.276 0.885 0.391
Cl 0.495 0.501 0.724
Cl 0.495 0.999 0.224
Cl 0.505 0.001 0.776
Cl 0.505 0.499 0.276
Cl 0.724 0.115 0.609
Cl 0.724 0.385 0.109
Cl 0.734 0.143 0.121
Cl 0.734 0.357 0.621
Cl 0.758 0.624 0.126
Cl 0.758 0.876 0.626
Cl 0.787 0.623 0.646
Cl 0.787 0.877 0.146
Cl 0.982 0.247 0.992
Cl 0.982 0.253 0.492
! space-group type	No. 14
! ΔE to the lowest computed polymorph	8	meV/atom
! formation energy (no corrections)	-638	kJ/mol of formula units